Compound: NiSb
Source: the Alexandria database
Functional: PBEsol
Structure: relaxed

Computed properties:
raw formation energy = -318 meV/atom
DOS at the Fermi energy = 0.5371 states/eV/atom
final energy = -22.70 eV per cell

a = 3.9126 Å, b = 3.9126 Å, c = 5.0643 Å
α = 90.00°, β = 90.00°, γ = 120.00°
Closest atoms and distances in Å follow each position.
Atoms (fractional coordinates):
Ni  0.0000  0.0000  0.0000  2 Ni 2.53, 6 Sb 2.59
Ni  0.0000  0.0000  0.5000  2 Ni 2.53, 6 Sb 2.59
Sb  0.3333  0.6667  0.2500  6 Ni 2.59
Sb  0.6667  0.3333  0.7500  6 Ni 2.59



Compound: NiSb
Source: the Alexandria database
Functional: PBEsol
Structure: relaxed

Computed properties:
raw formation energy = -108 meV/atom
DOS at the Fermi energy = 0.5734 states/eV/atom
final energy = -32.80 eV per cell

a = 3.6078 Å, b = 5.1343 Å, c = 6.2305 Å
α = 114.33°, β = 106.83°, γ = 90.00°
Closest atoms and distances in Å follow each position.
Atoms (fractional coordinates):
Ni  0.1295  0.3452  0.2590  6 Sb 2.51-2.79, 3 Ni 2.75-2.79
Ni  0.8705  0.0862  0.7410  6 Sb 2.51-2.79, 3 Ni 2.75-2.79
Ni  0.5000  0.5158  0.0000  2 Sb 2.54-2.59, 4 Ni 2.75
Sb  0.1904  0.8785  0.3808  4 Ni 2.51-2.79
Sb  0.8096  0.4977  0.6192  4 Ni 2.51-2.79
Sb  0.5000  0.0114  0.0000  6 Ni 2.51-2.59



Compound: NiSb2
Source: the Alexandria database
Functional: PBEsol
Structure: relaxed

Computed properties:
raw formation energy = -5 meV/atom
DOS at the Fermi energy = 0.5341 states/eV/atom
final energy = -30.58 eV per cell

a = 5.3592 Å, b = 5.3592 Å, c = 5.3592 Å
α = 105.66°, β = 105.66°, γ = 117.40°
Closest atoms and distances in Å follow each position.
Atoms (fractional coordinates):
Sb  0.6669  0.8331  0.5000  4 Ni 2.79, 1 Sb 3.06
Sb  0.8331  0.3331  0.1662  4 Ni 2.79, 1 Sb 3.06
Sb  0.1669  0.6669  0.8338  4 Ni 2.79, 1 Sb 3.06
Sb  0.3331  0.1669  0.5000  4 Ni 2.79, 1 Sb 3.06
Ni  0.7500  0.7500  0.0000  2 Ni 2.78, 8 Sb 2.79
Ni  0.2500  0.2500  0.0000  2 Ni 2.78, 8 Sb 2.79



Compound: NiSb3
Source: the Alexandria database
Functional: PBEsol
Structure: relaxed

Computed properties:
energy above the most stable polymorph in this dataset = 56.7 kJ/mol of atoms
raw formation energy = 417 meV/atom
DOS at the Fermi energy = 0.7146 states/eV/atom
final energy = -18.16 eV per cell

a = 4.6816 Å, b = 4.6816 Å, c = 5.1725 Å
α = 116.91°, β = 116.91°, γ = 90.00°
Closest atoms and distances in Å follow each position.
Atoms (fractional coordinates):
Sb  0.7500  0.2500  0.5000  8 Sb 3.07-3.31, 4 Ni 3.07
Sb  0.5000  0.5000  0.0000  8 Sb 3.07, 4 Ni 3.31
Sb  0.2500  0.7500  0.5000  8 Sb 3.07-3.31, 4 Ni 3.07
Ni  0.0000  0.0000  0.0000  12 Sb 3.07-3.31



Compound: NiSb2
Source: the Alexandria database
Functional: PBEsol
Structure: relaxed

Computed properties:
raw formation energy = -93 meV/atom
DOS at the Fermi energy = 0.2811 states/eV/atom
final energy = -15.55 eV per cell

a = 4.4665 Å, b = 4.4665 Å, c = 4.4665 Å
α = 60.00°, β = 60.00°, γ = 60.00°
Closest atoms and distances in Å follow each position.
Atoms (fractional coordinates):
Ni  0.0000  0.0000  0.0000  8 Sb 2.74
Sb  0.7500  0.7500  0.7500  4 Ni 2.74
Sb  0.2500  0.2500  0.2500  4 Ni 2.74



Compound: Ni5Sb2
Source: the Alexandria database
Functional: PBEsol
Structure: relaxed

Computed properties:
raw formation energy = -208 meV/atom
DOS at the Fermi energy = 0.7471 states/eV/atom
final energy = -82.72 eV per cell

a = 5.3519 Å, b = 6.0565 Å, c = 6.9284 Å
α = 115.58°, β = 112.72°, γ = 90.00°
Closest atoms and distances in Å follow each position.
Atoms (fractional coordinates):
Ni  0.9801  0.2586  0.4583  4 Sb 2.55-2.60, 8 Ni 2.55-2.72
Ni  0.2497  0.0000  0.0000  4 Sb 2.55-2.58, 8 Ni 2.55-2.68
Ni  0.5218  0.7414  0.5417  4 Sb 2.55-2.60, 8 Ni 2.55-2.72
Ni  0.0199  0.7414  0.5417  4 Sb 2.55-2.60, 8 Ni 2.55-2.72
Ni  0.1026  0.4040  0.2053  6 Ni 2.55, 4 Sb 2.56-2.68
Ni  0.7503  0.0000  0.0000  4 Sb 2.55-2.58, 8 Ni 2.55-2.68
Ni  0.4782  0.2586  0.4583  4 Sb 2.55-2.60, 8 Ni 2.55-2.72
Ni  0.6285  0.8526  0.2570  6 Ni 2.56-2.59, 5 Sb 2.58-2.79
Ni  0.3715  0.1474  0.7430  6 Ni 2.56-2.59, 5 Sb 2.58-2.79
Ni  0.8974  0.5960  0.7947  6 Ni 2.55, 4 Sb 2.56-2.68
Sb  0.6023  0.4032  0.2046  10 Ni 2.55-2.68
Sb  0.1264  0.8479  0.2528  11 Ni 2.56-2.79
Sb  0.3977  0.5968  0.7954  10 Ni 2.55-2.68
Sb  0.8736  0.1521  0.7472  11 Ni 2.56-2.79



Compound: NiSb3
Source: the Alexandria database
Functional: PBEsol
Structure: relaxed

Computed properties:
energy above the most stable polymorph in this dataset = 0.0 kJ/mol of atoms
raw formation energy = -171 meV/atom
DOS at the Fermi energy = 0.5503 states/eV/atom
final energy = -82.05 eV per cell

a = 7.8874 Å, b = 7.8874 Å, c = 7.8874 Å
α = 109.47°, β = 109.47°, γ = 109.47°
Closest atoms and distances in Å follow each position.
Atoms (fractional coordinates):
Sb  0.8236  0.6637  0.1598  2 Ni 2.54
Sb  0.3363  0.1598  0.4961  2 Ni 2.54
Sb  0.1598  0.8236  0.6637  2 Ni 2.54
Sb  0.1598  0.4961  0.3363  2 Ni 2.54
Sb  0.6637  0.1598  0.8236  2 Ni 2.54
Sb  0.1764  0.3363  0.8402  2 Ni 2.54
Sb  0.3363  0.8402  0.1764  2 Ni 2.54
Sb  0.6637  0.8402  0.5039  2 Ni 2.54
Sb  0.8402  0.1764  0.3363  2 Ni 2.54
Sb  0.4961  0.3363  0.1598  2 Ni 2.54
Sb  0.8402  0.5039  0.6637  2 Ni 2.54
Sb  0.5039  0.6637  0.8402  2 Ni 2.54
Ni  0.0000  0.0000  0.5000  6 Sb 2.54
Ni  0.0000  0.5000  0.0000  6 Sb 2.54
Ni  0.5000  0.5000  0.5000  6 Sb 2.54
Ni  0.5000  0.0000  0.0000  6 Sb 2.54



Compound: NiSb2
Source: the Alexandria database
Functional: PBEsol
Structure: relaxed

Computed properties:
raw formation energy = -242 meV/atom
DOS at the Fermi energy = 0.4309 states/eV/atom
final energy = -31.99 eV per cell

a = 3.8240 Å, b = 5.1531 Å, c = 6.2727 Å
α = 90.00°, β = 90.00°, γ = 90.00°
Closest atoms and distances in Å follow each position.
Atoms (fractional coordinates):
Sb  0.5000  0.7205  0.1426  3 Ni 2.51-2.56
Sb  0.0000  0.2205  0.3574  3 Ni 2.51-2.56
Sb  0.0000  0.7795  0.6426  3 Ni 2.51-2.56
Sb  0.5000  0.2795  0.8574  3 Ni 2.51-2.56
Ni  0.0000  0.0000  0.0000  6 Sb 2.51-2.56
Ni  0.5000  0.5000  0.5000  6 Sb 2.51-2.56



Compound: NiSb
Source: the Alexandria database
Functional: PBEsol
Structure: relaxed

Computed properties:
raw formation energy = -9 meV/atom
DOS at the Fermi energy = 0.7188 states/eV/atom
final energy = -21.47 eV per cell

a = 3.6134 Å, b = 3.6134 Å, c = 6.9313 Å
α = 74.89°, β = 74.89°, γ = 60.00°
Closest atoms and distances in Å follow each position.
Atoms (fractional coordinates):
Sb  0.2675  0.2675  0.1974  4 Ni 2.48-2.66
Sb  0.7325  0.7325  0.8026  4 Ni 2.48-2.66
Ni  0.8666  0.8666  0.4003  3 Ni 2.47, 4 Sb 2.48-2.66
Ni  0.1334  0.1334  0.5997  3 Ni 2.47, 4 Sb 2.48-2.66



Compound: NiSb2
Source: the Alexandria database
Functional: PBEsol
Structure: relaxed

Computed properties:
raw formation energy = -155 meV/atom
DOS at the Fermi energy = 0.5626 states/eV/atom
final energy = -15.74 eV per cell

a = 3.8067 Å, b = 3.8067 Å, c = 5.0341 Å
α = 90.00°, β = 90.00°, γ = 120.00°
Closest atoms and distances in Å follow each position.
Atoms (fractional coordinates):
Sb  0.3333  0.6667  0.7513  3 Ni 2.53
Sb  0.6667  0.3333  0.2487  3 Ni 2.53
Ni  0.0000  0.0000  0.0000  6 Sb 2.53



Compound: NiSb
Source: the Alexandria database
Functional: PBEsol
Structure: relaxed

Computed properties:
raw formation energy = 11 meV/atom
DOS at the Fermi energy = 0.8350 states/eV/atom
final energy = -10.69 eV per cell

a = 2.9490 Å, b = 3.7504 Å, c = 3.7504 Å
α = 120.00°, β = 90.00°, γ = 90.00°
Closest atoms and distances in Å follow each position.
Atoms (fractional coordinates):
Ni  0.0000  0.0000  0.0000  6 Sb 2.62
Sb  0.5000  0.3333  0.6667  6 Ni 2.62



Compound: NiSb3
Source: the Alexandria database
Functional: PBEsol
Structure: relaxed

Computed properties:
energy above the most stable polymorph in this dataset = 27.4 kJ/mol of atoms
raw formation energy = 113 meV/atom
DOS at the Fermi energy = 0.6365 states/eV/atom
final energy = -19.38 eV per cell

a = 3.3440 Å, b = 3.3440 Å, c = 9.1863 Å
α = 90.00°, β = 90.00°, γ = 120.00°
Closest atoms and distances in Å follow each position.
Atoms (fractional coordinates):
Sb  0.3333  0.6667  0.1888  3 Ni 2.60
Sb  0.0000  0.0000  0.5000  12 Sb 3.34-3.45
Sb  0.3333  0.6667  0.8112  3 Ni 2.60
Ni  0.0000  0.0000  0.0000  6 Sb 2.60